Record 1
SrF2 | Alexandria | GGA-PBEsol | relaxed; uncorrected formation energy = -3.93 eV per atom; crystal system = orthorhombic; calculated density = 4801 kg/m³
1.0
3.767 0.000 0.000
0.000 6.251 0.000
0.000 0.000 7.379
F Sr
8 4
direct
0.750 0.857 0.072
0.750 0.357 0.428
0.250 0.025 0.333
0.250 0.143 0.928
0.250 0.643 0.572
0.750 0.475 0.833
0.750 0.975 0.667
0.250 0.525 0.167
0.750 0.249 0.113
0.250 0.751 0.887
0.750 0.749 0.387
0.250 0.251 0.613

=====

Record 2
SrF2 | Alexandria | GGA-PBEsol | relaxed; uncorrected formation energy = -3.97 eV per atom; crystal system = cubic; calculated density = 4363 kg/m³
1.0
-0.546 3.195 -2.467
-0.896 -0.591 -3.930
-3.724 0.883 -1.395
F Sr
2 1
direct
0.250 0.250 0.250
0.750 0.750 0.750
0.000 0.000 0.000

=====

Record 3
SrF | Alexandria | GGA-PBEsol | relaxed; uncorrected formation energy = -2.65 eV per atom; crystal system = hexagonal; calculated density = 3538 kg/m³
1.0
-1.981 3.609 0.720
-1.323 -2.539 -3.045
-4.006 -3.055 4.288
Sr F
2 2
direct
0.333 0.667 0.105
0.667 0.333 0.605
0.333 0.667 0.520
0.667 0.333 0.020

=====

Record 4
Sr3TeF | Alexandria | GGA-PBEsol | relaxed; uncorrected formation energy = -1.33 eV per atom; crystal system = cubic; calculated density = 4642 kg/m³
1.0
-3.033 4.277 0.547
-4.262 -2.874 -1.167
-0.648 -1.114 5.111
Sr Te F
3 1 1
direct
0.000 0.000 0.500
0.500 0.000 0.000
0.000 0.500 0.000
0.500 0.500 0.500
0.000 0.000 0.000

=====

Record 5
Sr3TiF | Alexandria | GGA-PBEsol | relaxed; uncorrected formation energy = 0.29 eV per atom; crystal system = cubic; calculated density = 2314 kg/m³
1.0
-5.856 1.477 1.335
0.440 -3.086 5.342
1.942 5.153 2.817
F Sr Ti
1 3 1
direct
0.500 0.500 0.500
0.000 0.000 0.500
0.500 0.000 0.000
0.000 0.500 0.000
0.000 0.000 0.000

=====

Record 6
SrTiF3 | Alexandria | GGA-PBEsol | relaxed; uncorrected formation energy = -2.10 eV per atom; crystal system = cubic; calculated density = 3215 kg/m³
1.0
4.632 0.000 0.000
0.000 4.632 0.000
0.000 0.000 4.632
F Ti Sr
3 1 1
direct
0.000 0.000 0.500
0.000 0.500 0.000
0.500 0.000 0.000
0.500 0.500 0.500
0.000 0.000 0.000

=====

Record 7
SrTl3F | Alexandria | GGA-PBEsol | relaxed; uncorrected formation energy = -0.73 eV per atom; crystal system = cubic; calculated density = 8649 kg/m³
1.0
-3.749 -0.310 -3.546
3.373 -1.954 -3.396
-1.137 -4.776 1.620
Tl Sr F
3 1 1
direct
0.500 0.000 0.000
0.000 0.500 0.000
0.000 0.000 0.500
0.500 0.500 0.500
0.000 0.000 0.000

=====

Record 8
SrWF3 | Alexandria | GGA-PBEsol | relaxed; uncorrected formation energy = -1.30 eV per atom; crystal system = cubic; calculated density = 6638 kg/m³
1.0
4.347 0.000 0.000
0.000 4.347 0.000
0.000 0.000 4.347
F W Sr
3 1 1
direct
0.000 0.000 0.500
0.500 0.000 0.000
0.000 0.500 0.000
0.000 0.000 0.000
0.500 0.500 0.500